GaH3I PBE-GGA optimized geometry; energy relative to the lowest polymorph listed for this composition = 568 meV per atom; total magnetization = 0.00 μB/f.u.
1.0
3.945 0.000 0.000
0.000 3.945 0.000
0.000 0.000 3.945
I H Ga
1 3 1
Direct
0.500 0.500 0.500
0.000 0.500 0.000
0.000 0.000 0.500
0.500 0.000 0.000
0.000 0.000 0.000


Ga2HI2 PBE-GGA optimized geometry; DFT total energy = -2.654 eV/atom; total magnetization = 0.00 μB/f.u.
1.0
5.048 -0.655 -0.615
-1.663 19.315 -10.870
0.362 -15.295 12.482
Ga H I
4 2 4
Direct
0.100 0.855 0.920
0.900 0.145 0.080
0.603 0.802 0.303
0.397 0.198 0.697
0.763 0.408 0.422
0.237 0.592 0.578
0.096 0.297 0.919
0.904 0.703 0.081
0.730 0.335 0.169
0.270 0.665 0.831


Ga2HI8 PBE-GGA optimized geometry; energy relative to the lowest polymorph listed for this composition = 93 meV per atom; total magnetization = 0.00 μB/f.u.
1.0
8.326 -0.987 -0.749
-1.224 8.762 1.147
-1.224 3.464 8.130
Ga H I
2 1 8
Direct
0.673 0.783 0.783
0.327 0.217 0.217
0.000 0.000 0.000
0.152 0.317 0.898
0.848 0.102 0.683
0.370 0.788 0.788
0.630 0.212 0.212
0.152 0.898 0.317
0.848 0.683 0.102
0.701 0.627 0.627
0.299 0.373 0.373


GaH2I3 PBE-GGA optimized geometry; DFT total energy = -2.465 eV/atom; total magnetization = 0.00 μB/f.u.
1.0
-8.039 -1.458 -1.571
3.493 -7.468 -1.118
-2.881 -5.120 5.415
Ga H I
2 4 6
Direct
0.084 0.916 0.250
0.916 0.084 0.750
0.633 0.673 0.145
0.673 0.633 0.645
0.327 0.367 0.355
0.367 0.327 0.855
0.633 0.367 0.750
0.367 0.633 0.250
0.119 0.293 0.963
0.707 0.881 0.537
0.293 0.119 0.463
0.881 0.707 0.037